CaHg2Pd5 after structural relaxation. Source: the Alexandria database, functional PBE.

Unit cell a=4.2162 b=5.8773 c=12.8269 alpha=90.00 beta=90.00 gamma=90.00
Fractional positions:
Ca (0.0000, 0.0000, 0.0000)
Ca (0.5000, 0.5000, 0.5000)
Hg (0.0000, 0.5000, 0.2178)
Hg (0.0000, 0.5000, 0.7822)
Hg (0.5000, 0.0000, 0.2822)
Hg (0.5000, 0.0000, 0.7178)
Pd (0.0000, 0.2354, 0.3924)
Pd (0.0000, 0.2354, 0.6076)
Pd (0.0000, 0.5000, 0.0000)
Pd (0.0000, 0.7646, 0.3924)
Pd (0.0000, 0.7646, 0.6076)
Pd (0.5000, 0.0000, 0.5000)
Pd (0.5000, 0.2646, 0.1076)
Pd (0.5000, 0.2646, 0.8924)
Pd (0.5000, 0.7354, 0.1076)
Pd (0.5000, 0.7354, 0.8924)

Summary:
The calculation puts the magnetization at 0.000 μB per formula unit. Its space group is No. 71. As for the formation energy: -2.19 eV/f.u. Its crystal system is orthorhombic. The value obtained for the polymorph energy (0 for the lowest one) is 62 meV per atom.

Ca6Hg2Pd after structural relaxation. Source: the Alexandria database, functional PBE.

Unit cell a=6.8783 b=8.2596 c=12.3697 alpha=90.00 beta=122.93 gamma=90.00
Fractional positions:
Ca (0.0905, 0.1838, 0.4409)
Ca (0.0905, 0.3162, 0.9409)
Ca (0.2891, 0.6742, 0.4409)
Ca (0.2891, 0.8258, 0.9409)
Ca (0.3859, 0.0315, 0.2559)
Ca (0.3859, 0.4685, 0.7559)
Ca (0.6141, 0.5315, 0.2441)
Ca (0.6141, 0.9685, 0.7441)
Ca (0.7109, 0.1742, 0.0591)
Ca (0.7109, 0.3258, 0.5591)
Ca (0.9095, 0.6838, 0.0591)
Ca (0.9095, 0.8162, 0.5591)
Hg (0.1843, 0.1177, 0.7454)
Hg (0.1843, 0.3823, 0.2454)
Hg (0.8157, 0.6177, 0.7546)
Hg (0.8157, 0.8823, 0.2546)
Pd (0.0000, 0.0000, 0.0000)
Pd (0.0000, 0.5000, 0.5000)

Summary:
The calculation puts the magnetization at 0.000 μB per formula unit. Its space group is No. 14. As for the formation energy: -3.72 eV/f.u. Its crystal system is monoclinic.

CaHgPd after structural relaxation. Source: the Alexandria database, functional PBE.

Unit cell a=4.7298 b=4.7298 c=3.6652 alpha=90.00 beta=90.00 gamma=120.00
Fractional positions:
Ca (0.0000, 0.0000, 0.0000)
Hg (0.3333, 0.6667, 0.5000)
Pd (0.6667, 0.3333, 0.5000)

Summary:
The calculation puts the magnetization at 0.000 μB per formula unit. Its space group is No. 187. As for the formation energy: -1.64 eV/f.u. Its crystal system is hexagonal.

Ca4HgPd2 after structural relaxation. Source: the Alexandria database, functional PBE.

Unit cell a=5.1990 b=5.1990 c=15.7889 alpha=90.00 beta=90.00 gamma=120.04
Fractional positions:
Ca (0.0000, 0.0000, 0.0000)
Ca (0.0000, 0.0000, 0.5000)
Ca (0.3330, 0.6670, 0.6228)
Ca (0.3330, 0.6670, 0.8772)
Ca (0.3339, 0.6661, 0.2500)
Ca (0.6661, 0.3339, 0.7500)
Ca (0.6670, 0.3330, 0.1228)
Ca (0.6670, 0.3330, 0.3772)
Hg (0.0007, 0.9993, 0.2500)
Hg (0.9993, 0.0007, 0.7500)
Pd (0.3336, 0.6664, 0.0597)
Pd (0.3336, 0.6664, 0.4403)
Pd (0.6664, 0.3336, 0.5597)
Pd (0.6664, 0.3336, 0.9403)

Summary:
The calculation puts the magnetization at 0.000 μB per formula unit. Its space group is No. 63. As for the formation energy: -3.68 eV/f.u. Its crystal system is orthorhombic. The value obtained for the polymorph energy (0 for the lowest one) is 0 meV per atom.

CaHg2Pd5 after structural relaxation. Source: the Alexandria database, functional PBE.

Unit cell a=4.3349 b=4.3349 c=15.2454 alpha=90.00 beta=90.00 gamma=90.00
Fractional positions:
Ca (0.0000, 0.0000, 0.0000)
Ca (0.5000, 0.5000, 0.5000)
Hg (0.0000, 0.0000, 0.2509)
Hg (0.0000, 0.0000, 0.7491)
Hg (0.5000, 0.5000, 0.2491)
Hg (0.5000, 0.5000, 0.7509)
Pd (0.0000, 0.0000, 0.5000)
Pd (0.0000, 0.5000, 0.1276)
Pd (0.0000, 0.5000, 0.3724)
Pd (0.0000, 0.5000, 0.6276)
Pd (0.0000, 0.5000, 0.8724)
Pd (0.5000, 0.0000, 0.1276)
Pd (0.5000, 0.0000, 0.3724)
Pd (0.5000, 0.0000, 0.6276)
Pd (0.5000, 0.0000, 0.8724)
Pd (0.5000, 0.5000, 0.0000)

Summary:
The calculation puts the magnetization at 0.000 μB per formula unit. Its space group is No. 139. As for the formation energy: -2.69 eV/f.u. Its crystal system is tetragonal. The value obtained for the polymorph energy (0 for the lowest one) is 0 meV per atom.

CaHg2Pd3 after structural relaxation. Source: the Alexandria database, functional PBE.

Unit cell a=4.7504 b=4.7504 c=11.6666 alpha=90.00 beta=90.00 gamma=120.00
Fractional positions:
Ca (0.3333, 0.6667, 0.1702)
Ca (0.6667, 0.3333, 0.8298)
Hg (0.0000, 0.0000, 0.0000)
Hg (0.0000, 0.0000, 0.5000)
Hg (0.3333, 0.6667, 0.6705)
Hg (0.6667, 0.3333, 0.3295)
Pd (0.0000, 0.0000, 0.2581)
Pd (0.0000, 0.0000, 0.7419)
Pd (0.3333, 0.6667, 0.4247)
Pd (0.3333, 0.6667, 0.9197)
Pd (0.6667, 0.3333, 0.0803)
Pd (0.6667, 0.3333, 0.5753)

Summary:
The calculation puts the magnetization at 0.000 μB per formula unit. Its space group is No. 164. As for the formation energy: -2.37 eV/f.u. Its crystal system is trigonal. The value obtained for the polymorph energy (0 for the lowest one) is 24 meV per atom.

Ca2Hg6Pd after structural relaxation. Source: the Alexandria database, functional PBE.

Unit cell a=7.5995 b=7.5995 c=4.4701 alpha=90.00 beta=90.00 gamma=120.60
Fractional positions:
Ca (0.1975, 0.8025, 0.0000)
Ca (0.8025, 0.1975, 0.0000)
Hg (0.1642, 0.4482, 0.5000)
Hg (0.2674, 0.2674, 0.0000)
Hg (0.4482, 0.1642, 0.5000)
Hg (0.5518, 0.8358, 0.5000)
Hg (0.7326, 0.7326, 0.0000)
Hg (0.8358, 0.5518, 0.5000)
Pd (0.0000, 0.0000, 0.5000)

Summary:
The calculation puts the magnetization at 0.000 μB per formula unit. Its space group is No. 65. As for the formation energy: -2.98 eV/f.u. Its crystal system is orthorhombic.

Ca6HgPd5 after structural relaxation. Source: the Alexandria database, functional PBE.

Unit cell a=8.7525 b=8.7525 c=8.7525 alpha=146.45 beta=131.57 gamma=60.20
Fractional positions:
Ca (0.0720, 0.3284, 0.7436)
Ca (0.2368, 0.0000, 0.2368)
Ca (0.4152, 0.6716, 0.7436)
Ca (0.5848, 0.3284, 0.2564)
Ca (0.7632, 0.0000, 0.7632)
Ca (0.9280, 0.6716, 0.2564)
Hg (0.5000, 0.5000, 0.0000)
Pd (0.0000, 0.5000, 0.5000)
Pd (0.1677, 0.1677, 0.0000)
Pd (0.3381, 0.8381, 0.5000)
Pd (0.6619, 0.1619, 0.5000)
Pd (0.8323, 0.8323, 0.0000)

Summary:
The calculation puts the magnetization at 0.000 μB per formula unit. Its space group is No. 71. As for the formation energy: -7.76 eV/f.u. Its crystal system is orthorhombic.

CaHg4Pd after structural relaxation. Source: the Alexandria database, functional PBE.

Unit cell a=7.9382 b=7.9382 c=5.5105 alpha=102.52 beta=102.52 gamma=57.74
Fractional positions:
Ca (0.2168, 0.2168, 0.1465)
Ca (0.7832, 0.7832, 0.8535)
Hg (0.0664, 0.6860, 0.4155)
Hg (0.1974, 0.8026, 0.0000)
Hg (0.3140, 0.9336, 0.5845)
Hg (0.3429, 0.3429, 0.7325)
Hg (0.6571, 0.6571, 0.2675)
Hg (0.6860, 0.0664, 0.4155)
Hg (0.8026, 0.1974, 0.0000)
Hg (0.9336, 0.3140, 0.5845)
Pd (0.4383, 0.4383, 0.2436)
Pd (0.5617, 0.5617, 0.7564)

Summary:
The calculation puts the magnetization at 0.000 μB per formula unit. Its space group is No. 12. As for the formation energy: -1.64 eV/f.u. Its crystal system is monoclinic. The value obtained for the polymorph energy (0 for the lowest one) is 0 meV per atom.

Ca2Hg5Pd5 after structural relaxation. Source: the Alexandria database, functional PBE.

Unit cell a=4.5644 b=5.7301 c=9.8802 alpha=90.00 beta=90.00 gamma=90.00
Fractional positions:
Ca (0.0000, 0.0000, 0.0000)
Ca (0.0000, 0.5000, 0.5000)
Hg (0.0000, 0.0000, 0.3157)
Hg (0.0000, 0.0000, 0.6843)
Hg (0.0000, 0.5000, 0.1652)
Hg (0.0000, 0.5000, 0.8348)
Hg (0.5000, 0.0000, 0.5000)
Pd (0.5000, 0.2544, 0.2508)
Pd (0.5000, 0.2544, 0.7492)
Pd (0.5000, 0.5000, 0.0000)
Pd (0.5000, 0.7456, 0.2508)
Pd (0.5000, 0.7456, 0.7492)

Summary:
The calculation puts the magnetization at 0.000 μB per formula unit. Its space group is No. 47. As for the formation energy: -4.31 eV/f.u. Its crystal system is orthorhombic.

Ca3Hg4Pd4 after structural relaxation. Source: the Alexandria database, functional PBE.

Unit cell a=8.7541 b=8.7541 c=8.7541 alpha=151.97 beta=126.27 gamma=61.69
Fractional positions:
Ca (0.0000, 0.0000, 0.0000)
Ca (0.3773, 0.8773, 0.5000)
Ca (0.6227, 0.1227, 0.5000)
Hg (0.0315, 0.3327, 0.6988)
Hg (0.3661, 0.6673, 0.6988)
Hg (0.6339, 0.3327, 0.3012)
Hg (0.9685, 0.6673, 0.3012)
Pd (0.2265, 0.2265, 0.0000)
Pd (0.3259, 0.5000, 0.8259)
Pd (0.6741, 0.5000, 0.1741)
Pd (0.7735, 0.7735, 0.0000)

Summary:
The calculation puts the magnetization at 0.000 μB per formula unit. Its space group is No. 71. As for the formation energy: -5.53 eV/f.u. Its crystal system is orthorhombic.

Ca4Hg3Pd2 after structural relaxation. Source: the Alexandria database, functional PBE.

Unit cell a=5.0394 b=5.0394 c=10.2195 alpha=90.00 beta=90.00 gamma=120.00
Fractional positions:
Ca (0.0000, 0.0000, 0.1760)
Ca (0.0000, 0.0000, 0.8240)
Ca (0.3333, 0.6667, 0.3859)
Ca (0.6667, 0.3333, 0.6141)
Hg (0.0000, 0.0000, 0.5000)
Hg (0.3333, 0.6667, 0.9727)
Hg (0.6667, 0.3333, 0.0273)
Pd (0.3333, 0.6667, 0.6867)
Pd (0.6667, 0.3333, 0.3133)

Summary:
The calculation puts the magnetization at 0.000 μB per formula unit. Its space group is No. 164. As for the formation energy: -4.86 eV/f.u. Its crystal system is trigonal.